Entry 1:
The following is a meta-GGA SCAN calculation of AsPOsO2 at its PBEsol-relaxed geometry, from Alexandria.

extended XYZ file:
```
5
Lattice="-3.506 -1.049 -0.647 -0.454 -0.713 3.619 -1.611 4.911 0.765" Properties=species:S:1:pos:R:3 pbc="T T T"
O -0.227 -0.356 1.810
O -1.753 -0.525 -0.323
P -0.805 2.456 0.382
As -2.786 1.575 1.869
Os 0.000 0.000 0.000
```

Energy relative to the elements, uncorrected   -1.1 eV/f.u.
Fermi-level density of states   2.314 states/eV per cell
Total energy   -116.0 eV per cell
Total moment   0.215 μB per atom



Entry 2:
The following is a meta-GGA SCAN calculation of MoIrCl2 at its PBEsol-relaxed geometry, from Alexandria.

extended XYZ file:
```
4
Lattice="2.938 0.000 0.000 1.469 2.544 0.000 1.469 0.848 9.070" Properties=species:S:1:pos:R:3 pbc="T T T"
Cl 4.407 2.544 0.531
Cl 4.407 2.544 6.389
Ir 2.938 1.696 4.356
Mo 1.469 0.848 2.329
```

Energy relative to the elements, uncorrected   -0.1 eV/f.u.
Fermi-level density of states   4.091 states/eV per cell
Total energy   -122.0 eV per cell
Energy relative to the lowest polymorph listed for this composition   0.272 eV/atom
Total moment   0.000 μB per atom